No. 1
Entry from Alexandria via LeMat-Bulk: a geometry-optimized ReRu4Rh2 structure (PBE).

Calculated values
The calculated volume is 14.92 Å³/atom. The formation energy comes out at 334 meV per atom. The calculated density comes out at 12.66 g cm⁻³.

a b c (Å): 4.499 17.291 2.686
angles (deg): 90.00 90.00 90.00
Space group Cmmm (No. 65)
One atom of each set of equivalent atoms:
Re 0.000 0.000 0.000 (multiplicity 2)
Ru 0.000 0.131 0.500 (multiplicity 4)
Ru 0.000 0.419 0.000 (multiplicity 4)
Rh 0.000 0.287 0.500 (multiplicity 4)



No. 2
Entry from Alexandria via LeMat-Bulk: a geometry-optimized ReRuRh4 structure (PBE).

Calculated values
Its energy above the most stable polymorph in this dataset is 356 meV/atom. The calculated volume is 17.41 Å³/atom. The formation energy comes out at 522 meV per atom. The calculated density comes out at 11.11 g cm⁻³.

a b c (Å): 9.772 9.389 5.012
angles (deg): 90.00 114.68 90.00
Space group C2/c (No. 15)
One atom of each set of equivalent atoms:
Re 0.000 0.200 0.250 (multiplicity 4)
Ru 0.000 0.301 0.750 (multiplicity 4)
Rh 0.134 0.040 0.002 (multiplicity 8)
Rh 0.247 0.294 0.252 (multiplicity 8)